Record 1
# SCAN MnBe2Au, PBEsol geometry
# Calculated total energy in eV per cell: -95.76
# ΔE_f in eV per atom: 0.09
data_MnBe2Au
_chemical_formula_sum 'Mn1 Be2 Au1'
_symmetry_space_group_name_H-M 'P 1'
_symmetry_Int_Tables_number 1
_cell_length_a 7.784
_cell_length_b 7.784
_cell_length_c 7.784
_cell_angle_alpha 19.68
_cell_angle_beta 19.68
_cell_angle_gamma 19.68
loop_
_symmetry_equiv_pos_as_xyz
'x,y,z'
loop_
_atom_site_label
_atom_site_type_symbol
_atom_site_fract_x
_atom_site_fract_y
_atom_site_fract_z
_atom_site_occupancy
Mn1 Mn 0.000 0.000 0.000 1
Be1 Be 0.256 0.256 0.256 1
Be2 Be 0.744 0.744 0.744 1
Au1 Au 0.500 0.500 0.500 1

---

Record 2
# SCAN Sr2MnCr, PBEsol geometry
# Calculated total energy in eV per cell: -80.24
# ΔE_f in eV per atom: 0.24
data_Sr2MnCr
_chemical_formula_sum 'Sr2 Mn1 Cr1'
_symmetry_space_group_name_H-M 'P 1'
_symmetry_Int_Tables_number 1
_cell_length_a 3.457
_cell_length_b 3.457
_cell_length_c 9.119
_cell_angle_alpha 90.00
_cell_angle_beta 90.00
_cell_angle_gamma 90.00
loop_
_symmetry_equiv_pos_as_xyz
'x,y,z'
loop_
_atom_site_label
_atom_site_type_symbol
_atom_site_fract_x
_atom_site_fract_y
_atom_site_fract_z
_atom_site_occupancy
Sr1 Sr 0.000 0.000 0.000 1
Sr2 Sr 0.500 0.500 0.390 1
Mn1 Mn 0.500 0.500 0.737 1
Cr1 Cr 0.000 0.000 0.660 1

---

Record 3
# SCAN BaReTcMo2, PBEsol geometry
# Calculated total energy in eV per cell: -208.56
# ΔE_f in eV per atom: 1.38
data_BaReTcMo2
_chemical_formula_sum 'Ba1 Re1 Tc1 Mo2'
_symmetry_space_group_name_H-M 'P 1'
_symmetry_Int_Tables_number 1
_cell_length_a 4.808
_cell_length_b 4.808
_cell_length_c 4.803
_cell_angle_alpha 90.00
_cell_angle_beta 90.00
_cell_angle_gamma 90.00
loop_
_symmetry_equiv_pos_as_xyz
'x,y,z'
loop_
_atom_site_label
_atom_site_type_symbol
_atom_site_fract_x
_atom_site_fract_y
_atom_site_fract_z
_atom_site_occupancy
Ba1 Ba 0.000 0.000 0.000 1
Re1 Re 0.500 0.500 0.000 1
Tc1 Tc 0.500 0.500 0.500 1
Mo1 Mo 0.000 0.500 0.500 1
Mo2 Mo 0.500 0.000 0.500 1

---

Record 4
# SCAN Bi3O4F, PBEsol geometry
# Calculated total energy in eV per cell: -548.86
# ΔE_f (raw) in eV per formula unit: -10.23
# Energy relative to the lowest polymorph listed for this composition in eV per atom: 0.0595
data_Bi3O4F
_chemical_formula_sum 'Bi6 O8 F2'
_symmetry_space_group_name_H-M 'P 1'
_symmetry_Int_Tables_number 1
_cell_length_a 8.653
_cell_length_b 8.653
_cell_length_c 9.759
_cell_angle_alpha 113.15
_cell_angle_beta 113.15
_cell_angle_gamma 23.28
loop_
_symmetry_equiv_pos_as_xyz
'x,y,z'
loop_
_atom_site_label
_atom_site_type_symbol
_atom_site_fract_x
_atom_site_fract_y
_atom_site_fract_z
_atom_site_occupancy
Bi1 Bi 0.088 0.088 0.455 1
Bi2 Bi 0.144 0.144 0.911 1
Bi3 Bi 0.302 0.302 0.739 1
Bi4 Bi 0.698 0.698 0.261 1
Bi5 Bi 0.856 0.856 0.089 1
Bi6 Bi 0.912 0.912 0.545 1
O1 O 0.113 0.113 0.259 1
O2 O 0.256 0.256 0.124 1
O3 O 0.325 0.325 0.486 1
O4 O 0.386 0.386 0.978 1
O5 O 0.614 0.614 0.022 1
O6 O 0.675 0.675 0.514 1
O7 O 0.744 0.744 0.876 1
O8 O 0.887 0.887 0.741 1
F1 F 0.478 0.478 0.328 1
F2 F 0.522 0.522 0.672 1

---

Record 5
# SCAN TlNiBr2, PBEsol geometry
# Calculated total energy in eV per cell: -127.37
# ΔE_f (raw) in eV per formula unit: 0.08
# Energy relative to the lowest polymorph listed for this composition in eV per atom: 0.0000
data_TlNiBr2
_chemical_formula_sum 'Tl1 Ni1 Br2'
_symmetry_space_group_name_H-M 'P 1'
_symmetry_Int_Tables_number 1
_cell_length_a 5.128
_cell_length_b 5.128
_cell_length_c 3.568
_cell_angle_alpha 90.00
_cell_angle_beta 90.00
_cell_angle_gamma 90.00
loop_
_symmetry_equiv_pos_as_xyz
'x,y,z'
loop_
_atom_site_label
_atom_site_type_symbol
_atom_site_fract_x
_atom_site_fract_y
_atom_site_fract_z
_atom_site_occupancy
Tl1 Tl 0.000 0.000 0.000 1
Ni1 Ni 0.500 0.500 0.000 1
Br1 Br 0.000 0.500 0.500 1
Br2 Br 0.500 0.000 0.500 1

---

Record 6
# SCAN InFePb2, PBEsol geometry
# Calculated total energy in eV per cell: -201.70
# Energy relative to the lowest polymorph listed for this composition in eV per atom: 0.0977
# ΔE_f in eV per atom: 0.34
data_InFePb2
_chemical_formula_sum 'In1 Fe1 Pb2'
_symmetry_space_group_name_H-M 'P 1'
_symmetry_Int_Tables_number 1
_cell_length_a 9.067
_cell_length_b 9.067
_cell_length_c 9.067
_cell_angle_alpha 22.31
_cell_angle_beta 22.31
_cell_angle_gamma 22.31
loop_
_symmetry_equiv_pos_as_xyz
'x,y,z'
loop_
_atom_site_label
_atom_site_type_symbol
_atom_site_fract_x
_atom_site_fract_y
_atom_site_fract_z
_atom_site_occupancy
In1 In 0.000 0.000 0.000 1
Fe1 Fe 0.500 0.500 0.500 1
Pb1 Pb 0.236 0.236 0.236 1
Pb2 Pb 0.764 0.764 0.764 1

---

Record 7
# SCAN Rb2O3, PBEsol geometry
# Calculated total energy in eV per cell: -261.40
# ΔE_f (raw) in eV per formula unit: -5.18
data_Rb2O3
_chemical_formula_sum 'Rb8 O12'
_symmetry_space_group_name_H-M 'P 1'
_symmetry_Int_Tables_number 1
_cell_length_a 7.909
_cell_length_b 7.909
_cell_length_c 7.909
_cell_angle_alpha 109.47
_cell_angle_beta 109.47
_cell_angle_gamma 109.47
loop_
_symmetry_equiv_pos_as_xyz
'x,y,z'
loop_
_atom_site_label
_atom_site_type_symbol
_atom_site_fract_x
_atom_site_fract_y
_atom_site_fract_z
_atom_site_occupancy
Rb1 Rb 0.000 0.394 0.500 1
Rb2 Rb 0.000 0.894 0.500 1
Rb3 Rb 0.106 0.106 0.106 1
Rb4 Rb 0.394 0.500 0.000 1
Rb5 Rb 0.500 0.000 0.394 1
Rb6 Rb 0.500 0.000 0.894 1
Rb7 Rb 0.606 0.606 0.606 1
Rb8 Rb 0.894 0.500 0.000 1
O1 O 0.049 0.750 0.799 1
O2 O 0.201 0.750 0.951 1
O3 O 0.250 0.549 0.299 1
O4 O 0.250 0.701 0.451 1
O5 O 0.299 0.250 0.549 1
O6 O 0.451 0.250 0.701 1
O7 O 0.549 0.299 0.250 1
O8 O 0.701 0.451 0.250 1
O9 O 0.750 0.799 0.049 1
O10 O 0.750 0.951 0.201 1
O11 O 0.799 0.049 0.750 1
O12 O 0.951 0.201 0.750 1

---

Record 8
# SCAN InS2F2, PBEsol geometry
# Calculated total energy in eV per cell: -62.44
# ΔE_f (raw) in eV per formula unit: -2.72
data_InS2F2
_chemical_formula_sum 'In1 S2 F2'
_symmetry_space_group_name_H-M 'P 1'
_symmetry_Int_Tables_number 1
_cell_length_a 5.182
_cell_length_b 5.182
_cell_length_c 5.182
_cell_angle_alpha 126.09
_cell_angle_beta 126.09
_cell_angle_gamma 79.74
loop_
_symmetry_equiv_pos_as_xyz
'x,y,z'
loop_
_atom_site_label
_atom_site_type_symbol
_atom_site_fract_x
_atom_site_fract_y
_atom_site_fract_z
_atom_site_occupancy
In1 In 0.000 0.000 0.000 1
S1 S 0.383 0.383 0.000 1
S2 S 0.617 0.617 0.000 1
F1 F 0.250 0.750 0.500 1
F2 F 0.750 0.250 0.500 1

---

Record 9
# SCAN Zr2CoTc, PBEsol geometry
# Calculated total energy in eV per cell: -115.50
# Energy relative to the lowest polymorph listed for this composition in eV per atom: 0.0153
# ΔE_f in eV per atom: -0.44
data_Zr2CoTc
_chemical_formula_sum 'Zr2 Co1 Tc1'
_symmetry_space_group_name_H-M 'P 1'
_symmetry_Int_Tables_number 1
_cell_length_a 4.513
_cell_length_b 4.513
_cell_length_c 4.513
_cell_angle_alpha 60.00
_cell_angle_beta 60.00
_cell_angle_gamma 60.00
loop_
_symmetry_equiv_pos_as_xyz
'x,y,z'
loop_
_atom_site_label
_atom_site_type_symbol
_atom_site_fract_x
_atom_site_fract_y
_atom_site_fract_z
_atom_site_occupancy
Zr1 Zr 0.250 0.250 0.250 1
Zr2 Zr 0.750 0.750 0.750 1
Co1 Co 0.000 0.000 0.000 1
Tc1 Tc 0.500 0.500 0.500 1

---

Record 10
# SCAN TaRe2Hg, PBEsol geometry
# Calculated total energy in eV per cell: -276.06
# ΔE_f in eV per atom: 0.22
data_TaRe2Hg
_chemical_formula_sum 'Ta1 Re2 Hg1'
_symmetry_space_group_name_H-M 'P 1'
_symmetry_Int_Tables_number 1
_cell_length_a 2.916
_cell_length_b 2.916
_cell_length_c 7.873
_cell_angle_alpha 90.00
_cell_angle_beta 90.00
_cell_angle_gamma 90.00
loop_
_symmetry_equiv_pos_as_xyz
'x,y,z'
loop_
_atom_site_label
_atom_site_type_symbol
_atom_site_fract_x
_atom_site_fract_y
_atom_site_fract_z
_atom_site_occupancy
Ta1 Ta 0.000 0.000 0.000 1
Re1 Re 0.000 0.000 0.554 1
Re2 Re 0.500 0.500 0.747 1
Hg1 Hg 0.500 0.500 0.276 1

---

Record 11
# SCAN PPbAuCl2, PBEsol geometry
# Calculated total energy in eV per cell: -168.87
# ΔE_f (raw) in eV per formula unit: 2.42
data_PPbAuCl2
_chemical_formula_sum 'P1 Pb1 Au1 Cl2'
_symmetry_space_group_name_H-M 'P 1'
_symmetry_Int_Tables_number 1
_cell_length_a 5.184
_cell_length_b 5.184
_cell_length_c 5.424
_cell_angle_alpha 90.00
_cell_angle_beta 90.00
_cell_angle_gamma 90.00
loop_
_symmetry_equiv_pos_as_xyz
'x,y,z'
loop_
_atom_site_label
_atom_site_type_symbol
_atom_site_fract_x
_atom_site_fract_y
_atom_site_fract_z
_atom_site_occupancy
P1 P 0.000 0.000 0.000 1
Pb1 Pb 0.000 0.000 0.500 1
Au1 Au 0.500 0.500 0.000 1
Cl1 Cl 0.000 0.500 0.500 1
Cl2 Cl 0.500 0.000 0.500 1

---

Record 12
# SCAN ScCo2Te, PBEsol geometry
# Calculated total energy in eV per cell: -86.79
# ΔE_f (raw) in eV per formula unit: -0.70
# Energy relative to the lowest polymorph listed for this composition in eV per atom: 0.0000
data_ScCo2Te
_chemical_formula_sum 'Sc1 Co2 Te1'
_symmetry_space_group_name_H-M 'P 1'
_symmetry_Int_Tables_number 1
_cell_length_a 4.461
_cell_length_b 4.461
_cell_length_c 4.461
_cell_angle_alpha 125.00
_cell_angle_beta 125.00
_cell_angle_gamma 81.54
loop_
_symmetry_equiv_pos_as_xyz
'x,y,z'
loop_
_atom_site_label
_atom_site_type_symbol
_atom_site_fract_x
_atom_site_fract_y
_atom_site_fract_z
_atom_site_occupancy
Sc1 Sc 0.000 0.000 0.000 1
Co1 Co 0.250 0.750 0.500 1
Co2 Co 0.750 0.250 0.500 1
Te1 Te 0.500 0.500 0.000 1